A geometry-optimized V12Ga6B structure. Source: the Alexandria database, functional PBE.

Computed properties:
VASP energy	-7.100	eV/atom
volume	773	Å³/cell
formation energy	-0.646	eV per formula unit
Fermi-level density of states	62.43	states/eV per cell

Geometry as CIF:
```
data_V12Ga6B
_chemical_formula_sum 'V36 Ga18 B3'
_symmetry_space_group_name_H-M 'R -3'
_symmetry_Int_Tables_number 148
_symmetry_space_group_name_Hall '-R 3'
_cell_length_a 9.0356
_cell_length_b 9.0356
_cell_length_c 10.9261
_cell_angle_alpha 90.00
_cell_angle_beta 90.00
_cell_angle_gamma 120.00
loop_
_atom_site_label
_atom_site_fract_x
_atom_site_fract_y
_atom_site_fract_z
_atom_site_occupancy
V1 0.0475 0.1788 0.3084 1
V2 0.0669 0.8471 0.9150 1
Ga1 0.0331 0.4419 0.2093 1
B1 0.0000 0.0000 0.5000 1
```